DFT (SCAN) results for a crystal of Si2BAs relaxed with PBEsol.

Values from the calculation:
As for the uncorrected energy: -96.1 eV per cell. The formation energy without anion corrections comes out at -0.095 eV/atom. Its space-group type is I-42d, No. 122. Its crystal system is tetragonal.

Unit cell a=6.167 b=6.167 c=6.167 alpha=131.38 beta=131.38 gamma=71.21
Fractional positions:
1 Si 0.061 0.625 0.936
2 Si 0.375 0.311 0.436
3 Si 0.689 0.125 0.064
4 Si 0.875 0.939 0.564
5 B 0.000 0.000 0.000
6 B 0.750 0.250 0.500
7 As 0.250 0.750 0.500
8 As 0.500 0.500 0.000



DFT (SCAN) results for a crystal of Be2AlAs relaxed with PBEsol.

Values from the calculation:
As for the uncorrected energy: -35.3 eV per cell. Its formation energy is 131.5 kJ/mol of formula units. Its space-group type is P4mm, No. 99. Its crystal system is tetragonal.

Unit cell a=2.828 b=2.828 c=6.625 alpha=90.00 beta=90.00 gamma=90.00
Fractional positions:
1 Be 0.000 0.000 0.000
2 Be 0.500 0.500 0.171
3 Al 0.000 0.000 0.405
4 As 0.500 0.500 0.778



Please write out number 1 again, unchanged.
DFT (SCAN) results for a crystal of Si2BAs relaxed with PBEsol.

Values from the calculation:
As for the uncorrected energy: -96.1 eV per cell. The formation energy without anion corrections comes out at -0.095 eV/atom. Its space-group type is I-42d, No. 122. Its crystal system is tetragonal.

Unit cell a=6.167 b=6.167 c=6.167 alpha=131.38 beta=131.38 gamma=71.21
Fractional positions:
1 Si 0.061 0.625 0.936
2 Si 0.375 0.311 0.436
3 Si 0.689 0.125 0.064
4 Si 0.875 0.939 0.564
5 B 0.000 0.000 0.000
6 B 0.750 0.250 0.500
7 As 0.250 0.750 0.500
8 As 0.500 0.500 0.000